This record from Alexandria via LeMat-Bulk describes crystalline ThZnNiPt at its relaxed geometry. The functional is GGA-PBE.

D(E_F)   2.3 states/eV/cell
V   19.00 A^3/atom
Total magnetic moment   0.0 μB per formula unit
Relative energy among the computed polymorphs   0 kJ/mol of formula units

a b c (Å): 5.2942 5.2942 5.2942
angles (deg): 48.36 48.36 48.36
Closest atoms and distances in Å follow each position.
Fractional coordinates of all 4 atoms:
Th1 0.0000 0.0000 0.0000  4 Ni 2.92-3.05, 4 Pt 3.00-3.01
Zn1 0.5077 0.5077 0.5077  3 Ni 2.55, 3 Pt 2.62
Ni1 0.2085 0.2085 0.2085  3 Zn 2.55, 3 Pt 2.80
Pt1 0.7856 0.7856 0.7856  3 Zn 2.62, 3 Ni 2.80